DFT (PBE-GGA) results for LaYTmSe3 after structural relaxation.

Space group ... P2_1/m, No. 11
Theoretical density ... 6404 kg/m3
M_tot ... 0.2 Bohr magnetons per cell
V ... 329 Å³ per cell
Energy ... -72.74 eV/cell

Lattice parameters (Å, degrees): 4.091 7.999 10.338 103.78 90.00 90.00
Fractional coordinates of all 12 atoms:
Y 0.750 0.826 0.377
Y 0.250 0.174 0.623
La 0.250 0.183 0.210
La 0.750 0.817 0.790
Tm 0.750 0.333 0.907
Tm 0.250 0.667 0.093
Se 0.250 0.523 0.813
Se 0.750 0.204 0.440
Se 0.750 0.905 0.109
Se 0.250 0.796 0.560
Se 0.250 0.095 0.891
Se 0.750 0.477 0.187